First-principles (PBE-GGA) data for a relaxed Li3Al2Au4 crystal, as listed in the Alexandria database.

The structure belongs to space group C2/m (No. 12); the cell edges are 10.105, 4.383 and 8.185 Å and the angles 90.00°, 127.01° and 90.00°. Symmetry generates all atoms from Li at (0.000, 0.000, 0.000), Li at (0.026, 0.000, 0.685), Al at (0.171, 0.500, 0.326), Au at (0.141, 0.500, 0.971) and Au at (0.179, 0.500, 0.646).

For the density of states at the Fermi level, the calculation gives 4.3 states/eV per cell. Its energy of formation from the pure elements is -0.517 eV/atom. As for the polymorph energy (0 for the lowest one): 20 meV/atom.


First-principles (PBE-GGA) data for a relaxed RbReBi2 crystal, as listed in the Alexandria database.

The structure belongs to space group Fm-3m (No. 225); the cell edges are 7.403, 7.403 and 7.403 Å and the angles 90.00°, 90.00° and 90.00°. Symmetry generates all atoms from Rb at (0.000, 0.000, 0.000), Re at (0.000, 0.000, 0.500) and Bi at (0.250, 0.250, 0.250).

For the density of states at the Fermi level, the calculation gives 10.2 states/eV per cell. Its energy of formation from the pure elements is 0.970 eV/atom. As for the polymorph energy (0 for the lowest one): 361 meV/atom.


Repeat the first record exactly.
First-principles (PBE-GGA) data for a relaxed Li3Al2Au4 crystal, as listed in the Alexandria database.

The structure belongs to space group C2/m (No. 12); the cell edges are 10.105, 4.383 and 8.185 Å and the angles 90.00°, 127.01° and 90.00°. Symmetry generates all atoms from Li at (0.000, 0.000, 0.000), Li at (0.026, 0.000, 0.685), Al at (0.171, 0.500, 0.326), Au at (0.141, 0.500, 0.971) and Au at (0.179, 0.500, 0.646).

For the density of states at the Fermi level, the calculation gives 4.3 states/eV per cell. Its energy of formation from the pure elements is -0.517 eV/atom. As for the polymorph energy (0 for the lowest one): 20 meV/atom.


The lowest energy of formation from the pure elements belongs to which entry?
Li3Al2Au4


energy of formation from the pure elements of number 1 (Li3Al2Au4)?
-0.517 eV/atom